Entry 1:
A relaxed structure of PuAgIr, computed with PBE.

D(E_F) = 5.3 states/eV/f.u.
Magnetic moment = 1.686 μB/atom
Energy of formation = -115 meV per atom
Space group = No. 63

Cell: 4.5250 6.3259 4.4356 Å, 89.98 90.00 110.96°
Closest atoms and distances in Å follow each position.
Fractional positions:
Pu 0.1050 0.2100 0.7501  4 Ir 2.77-2.87
Ir 0.2452 0.4904 0.2501  4 Pu 2.77-2.87, 4 Ag 2.93-2.97
Ir 0.7548 0.5096 0.7499  4 Pu 2.77-2.87, 4 Ag 2.93-2.97
Pu 0.8950 0.7900 0.2499  4 Ir 2.77-2.87
Ag 0.4120 0.8240 0.7498  4 Ir 2.93-2.97, 2 Ag 3.04, 6 Pu 3.17-3.21
Ag 0.5880 0.1760 0.2502  4 Ir 2.93-2.97, 2 Ag 3.04, 6 Pu 3.17-3.21

***

Entry 2:
A relaxed structure of Pa3S, computed with PBE.

D(E_F) = 6.2 states/eV/f.u.
Magnetic moment = 0.000 μB/atom
Polymorph energy (0 for the lowest one) = 0.0807 eV/atom
Space group = No. 221

Cell: 4.3651 4.3651 4.3651 Å, 90.00 90.00 90.00°
Closest atoms and distances in Å follow each position.
Fractional positions:
Pa 0.5000 0.0000 0.5000  8 Pa 3.09, 4 S 3.09
Pa 0.0000 0.5000 0.5000  8 Pa 3.09, 4 S 3.09
S 0.0000 0.0000 0.0000  12 Pa 3.09
Pa 0.5000 0.5000 0.0000  8 Pa 3.09, 4 S 3.09

***

Entry 3:
A relaxed structure of Sr2AlIn, computed with PBE.

D(E_F) = 2.4 states/eV/f.u.
Magnetic moment = 0.000 μB/atom
Energy of formation = -286 meV per atom
Polymorph energy (0 for the lowest one) = 0.0000 eV/atom
Space group = No. 6

Cell: 4.8218 4.4478 6.7500 Å, 70.84 90.00 90.00°
Closest atoms and distances in Å follow each position.
Fractional positions:
Sr 0.5000 0.2720 0.3298  4 Al 3.44, 3 In 3.51-3.66
Al 0.0000 0.6906 0.4933  2 In 2.93
Sr 0.0000 0.9770 0.9218  4 In 3.45, 3 Al 3.52-3.64
In 0.5000 0.5604 0.7551  2 Al 2.93

***

Entry 4:
A relaxed structure of CsPaN2, computed with PBE.

Magnetic moment = 0.000 μB/atom
Polymorph energy (0 for the lowest one) = 0.0000 eV/atom
Space group = No. 166

Cell: 3.6414 3.6414 7.4020 Å, 75.76 75.76 60.00°
Closest atoms and distances in Å follow each position.
Fractional positions:
N 0.7143 0.7143 0.8571  3 Pa 2.33
N 0.2857 0.2857 0.1429  3 Pa 2.33
Pa 0.0000 0.0000 0.0000  6 N 2.33
Cs 0.5000 0.5000 0.5000  6 N 3.29, 6 Cs 3.64

***

Entry 5:
A relaxed structure of Fe5Os, computed with PBE.

D(E_F) = 7.8 states/eV/f.u.
Magnetic moment = 0.020 μB/atom
Energy of formation = 113 meV per atom
Polymorph energy (0 for the lowest one) = 0.0282 eV/atom
Space group = No. 8

Cell: 4.7293 4.7293 5.8945 Å, 76.53 76.53 31.37°
Closest atoms and distances in Å follow each position.
Fractional positions:
Os 0.2790 0.2790 0.9426  10 Fe 2.47-2.56, 2 Os 2.56
Fe 0.6643 0.6643 0.6603  10 Fe 2.40-2.56, 2 Os 2.52
Fe 0.3325 0.3325 0.3396  11 Fe 2.44-2.56, 1 Os 2.50
Fe 0.9480 0.9480 0.6043  10 Fe 2.44-2.56, 2 Os 2.55
Fe 0.6083 0.6083 0.2820  10 Fe 2.40-2.56, 2 Os 2.56
Fe 0.0012 0.0012 0.0045  9 Fe 2.46-2.56, 3 Os 2.47-2.49

***

Entry 6:
A relaxed structure of AcPr3Sm2, computed with PBE.

D(E_F) = 11.0 states/eV/f.u.
Magnetic moment = 0.000 μB/atom
Energy of formation = 330 meV per atom
Polymorph energy (0 for the lowest one) = 0.2822 eV/atom
Space group = No. 71

Cell: 3.5711 6.3040 10.6396 Å, 107.23 99.66 90.00°
Closest atoms and distances in Å follow each position.
Fractional positions:
Pr 0.0000 0.5000 0.0000  2 Ac 3.15, 4 Sm 3.30
Pr 0.8090 0.8090 0.6179  5 Sm 3.40-3.77, 2 Pr 3.57
Sm 0.3611 0.3611 0.7223  3 Pr 3.30-3.40, 2 Sm 3.57
Ac 0.0000 0.0000 0.0000  2 Pr 3.15
Pr 0.1910 0.1910 0.3821  5 Sm 3.40-3.77, 2 Pr 3.57
Sm 0.6389 0.6389 0.2777  3 Pr 3.30-3.40, 2 Sm 3.57